(1)
## MgZn3 (meta-GGA SCAN)

Data for MgZn3 at its PBEsol-relaxed geometry.

Unit cell a=2.8719 b=2.8719 c=7.5862 alpha=90.00 beta=90.00 gamma=90.00
Fractional positions:
Zn 0.0000 0.0000 0.2697
Zn 0.5000 0.5000 0.5000
Mg 0.5000 0.5000 0.0000
Zn 0.0000 0.0000 0.7303

Properties
SG	No. 123
crystal system	tetragonal
E_form	-0.03	eV per atom


(2)
## CdTePb2 (meta-GGA SCAN)

Data for CdTePb2 at its PBEsol-relaxed geometry.

Unit cell a=3.2570 b=3.2570 c=10.9188 alpha=90.00 beta=90.00 gamma=109.06
Fractional positions:
Cd 0.5000 0.5000 0.0000
Te 0.5000 0.5000 0.5000
Pb 0.0000 0.0000 0.2345
Pb 0.0000 0.0000 0.7655

Properties
energy above the lowest structure with this stoichiometry	93	meV per atom
E_form (uncorrected)	9.7	kJ/mol of atoms
SG	No. 65
crystal system	orthorhombic


(3)
## MgSb3H (meta-GGA SCAN)

Data for MgSb3H at its PBEsol-relaxed geometry.

Unit cell a=5.3063 b=5.3063 c=5.3063 alpha=90.00 beta=90.00 gamma=90.00
Fractional positions:
Sb 0.0000 0.5000 0.0000
Mg 0.0000 0.0000 0.0000
H 0.5000 0.5000 0.5000
Sb 0.5000 0.0000 0.0000
Sb 0.0000 0.0000 0.5000

Properties
SG	No. 221
crystal system	cubic


(4)
## TlAg2Hg (meta-GGA SCAN)

Data for TlAg2Hg at its PBEsol-relaxed geometry.

Unit cell a=3.4019 b=3.7633 c=6.3151 alpha=90.00 beta=90.00 gamma=90.00
Fractional positions:
Tl 0.5000 0.5000 0.7654
Hg 0.0000 0.0000 0.4737
Ag 0.0000 0.0000 0.0222
Ag 0.5000 0.5000 0.2388

Properties
SG	No. 25
crystal system	orthorhombic
E_form	0.09	eV per atom


(5)
## Na3H12Ru2C4O18 (meta-GGA SCAN)

Data for Na3H12Ru2C4O18 at its PBEsol-relaxed geometry.

Unit cell a=9.5864 b=9.4593 c=9.6338 alpha=72.71 beta=71.75 gamma=88.16
Fractional positions:
O 0.2857 0.4366 0.2020
O 0.7876 0.8512 0.0580
H 0.4259 0.5137 0.6445
O 0.3741 0.5925 0.5909
O 0.5220 0.7577 0.9344
H 0.8792 0.1609 0.4787
O 0.4726 0.5570 0.2255
O 0.7420 0.5082 0.5810
Na 0.3939 0.9936 0.3851
O 0.2594 0.4924 0.4181
Ru 0.8857 0.0390 0.0474
O 0.8813 0.1350 0.8319
Na 0.8391 0.3719 0.2109
H 0.2710 0.8314 0.2276
O 0.1066 0.0569 0.7388
Ru 0.1094 0.9559 0.9552
O 0.0110 0.7667 0.9664
O 0.3456 0.8922 0.8684
Ru 0.4043 0.4450 0.9859
O 0.4766 0.2452 0.0645
C 0.6017 0.2360 0.0950
H 0.4897 0.7404 0.5244
H 0.1410 0.9256 0.6344
H 0.1216 0.8403 0.5213
H 0.1111 0.4790 0.2198
O 0.3291 0.6454 0.9123
O 0.8095 0.8721 0.6599
O 0.7147 0.5667 0.7960
C 0.9940 0.1311 0.7135
O 0.8082 0.6234 0.0300
H 0.5946 0.2550 0.7474
Ru 0.5954 0.5582 0.0117
Na 0.1596 0.6288 0.7874
Na 0.9997 0.4910 0.5038
O 0.9873 0.2315 0.0297
H 0.5745 0.4890 0.3533
H 0.6633 0.4488 0.4769
O 0.8211 0.1552 0.4113
H 0.8776 0.8496 0.5678
H 0.2346 0.2333 0.2752
O 0.6700 0.3569 0.0856
O 0.1812 0.8472 0.5870
C 0.8658 0.7474 0.0178
O 0.6255 0.4100 0.4078
O 0.6248 0.1525 0.7668
O 0.0040 0.8018 0.4236
H 0.9725 0.3854 0.8478
O 0.4485 0.1648 0.5075
H 0.8884 0.5190 0.7823
H 0.3520 0.1778 0.5747
O 0.0115 0.5189 0.2438
H 0.6485 0.8226 0.4221
O 0.5279 0.4467 0.7719
C 0.3375 0.4945 0.2861
H 0.1246 0.1507 0.4332
O 0.1951 0.1324 0.3401
C 0.1323 0.2485 0.9849
Na 0.4498 0.0297 0.9927
O 0.5536 0.8351 0.4923
H 0.7227 0.1543 0.7827
H 0.8602 0.0757 0.3652
O 0.2103 0.1408 0.9521
O 0.1120 0.8557 0.1707
O 0.9948 0.1985 0.5787
O 0.8914 0.9429 0.2638
O 0.6512 0.1094 0.1339
C 0.0025 0.8659 0.2892
O 0.9868 0.4768 0.7608
O 0.3720 0.8511 0.2287
O 0.1909 0.3723 0.9709
Na 0.6106 0.0063 0.6120
C 0.3974 0.7656 0.9048
H 0.3375 0.5544 0.5205
H 0.7680 0.7731 0.7283
H 0.5110 0.2605 0.4747
H 0.4225 0.7589 0.2289
C 0.6634 0.5084 0.7121
H 0.0255 0.6142 0.1622

Properties
SG	No. 1
crystal system	triclinic


(6)
## CaTaMo2 (meta-GGA SCAN)

Data for CaTaMo2 at its PBEsol-relaxed geometry.

Unit cell a=4.6362 b=4.6362 c=4.6362 alpha=60.00 beta=60.00 gamma=60.00
Fractional positions:
Mo 0.0000 0.0000 0.0000
Mo 0.2500 0.2500 0.2500
Ta 0.7500 0.7500 0.7500
Ca 0.5000 0.5000 0.5000

Properties
energy above the lowest structure with this stoichiometry	255	meV per atom
SG	No. 216
crystal system	cubic
E_form	0.77	eV per atom


(7)
## BaCrTe2N (meta-GGA SCAN)

Data for BaCrTe2N at its PBEsol-relaxed geometry.

Unit cell a=4.3745 b=6.3669 c=6.3669 alpha=90.00 beta=90.00 gamma=90.00
Fractional positions:
N 0.5000 0.0000 0.0000
Te 0.0000 0.0000 0.5000
Cr 0.5000 0.5000 0.5000
Ba 0.0000 0.0000 0.0000
Te 0.0000 0.5000 0.0000

Properties
E_form (uncorrected)	105.8	kJ/mol of atoms
SG	No. 123
crystal system	tetragonal


(8)
## Cr3Tc (meta-GGA SCAN)

Data for Cr3Tc at its PBEsol-relaxed geometry.

Unit cell a=2.8858 b=4.0687 c=4.0687 alpha=90.00 beta=90.00 gamma=90.00
Fractional positions:
Cr 0.5000 0.0000 0.5000
Cr 0.5000 0.5000 0.0000
Tc 0.0000 0.5000 0.5000
Cr 0.0000 0.0000 0.0000

Properties
SG	No. 123
crystal system	tetragonal
E_form	-0.08	eV per atom


(9)
## YSiCl2 (meta-GGA SCAN)

Data for YSiCl2 at its PBEsol-relaxed geometry.

Unit cell a=4.9520 b=4.9520 c=4.9520 alpha=60.00 beta=60.00 gamma=60.00
Fractional positions:
Cl 0.0000 0.0000 0.0000
Y 0.7500 0.7500 0.7500
Si 0.5000 0.5000 0.5000
Cl 0.2500 0.2500 0.2500

Properties
energy above the lowest structure with this stoichiometry	293	meV per atom
E_form (uncorrected)	-55.6	kJ/mol of atoms
SG	No. 216
crystal system	cubic


(10)
## LiTeSCl2 (meta-GGA SCAN)

Data for LiTeSCl2 at its PBEsol-relaxed geometry.

Unit cell a=4.3802 b=4.3802 c=4.8597 alpha=90.00 beta=90.00 gamma=90.00
Fractional positions:
Cl 0.5000 0.0000 0.0000
Cl 0.0000 0.5000 0.0000
Li 0.0000 0.0000 0.0000
Te 0.5000 0.5000 0.5000
S 0.0000 0.0000 0.5000

Properties
E_form (uncorrected)	-28.3	kJ/mol of atoms
SG	No. 123
crystal system	tetragonal


(11)
## Pt2Au (meta-GGA SCAN)

Data for Pt2Au at its PBEsol-relaxed geometry.

Unit cell a=2.7911 b=3.9470 c=4.8880 alpha=113.81 beta=106.59 gamma=90.00
Fractional positions:
Pt 0.3310 0.3310 0.6620
Au 0.0000 0.0000 0.0000
Pt 0.6690 0.6690 0.3380

Properties
energy above the lowest structure with this stoichiometry	48	meV per atom
SG	No. 71
crystal system	orthorhombic
E_form	0.13	eV per atom


(12)
## TlCd5 (meta-GGA SCAN)

Data for TlCd5 at its PBEsol-relaxed geometry.

Unit cell a=4.7706 b=5.8832 c=5.8832 alpha=120.00 beta=90.00 gamma=90.00
Fractional positions:
Cd 0.5000 0.5000 0.5000
Cd 0.5000 0.5000 0.0000
Cd 0.0000 0.6667 0.3333
Tl 0.0000 0.0000 0.0000
Cd 0.0000 0.3333 0.6667
Cd 0.5000 0.0000 0.5000

Properties
energy above the lowest structure with this stoichiometry	22	meV per atom
SG	No. 191
crystal system	hexagonal
E_form	0.06	eV per atom


no.,DFT total energy (hartree per atom),spin magnetization (μB/f.u.)
1,-0.419,0.0
2,-2.010,0.0
3,-0.846,0.8
4,-1.864,0.0
5,-0.309,3.0
6,-1.313,0.0
7,-1.001,3.8
8,-0.832,0.5
9,-0.516,3.0
10,-0.490,0.0
11,-2.562,0.4
12,-1.372,0.0